1.
The following is a GGA-PBE calculation of a relaxed Y2PCl crystal, from Alexandria via LeMat-Bulk.

Computed properties:
total DFT energy (no corrections) = -0.1913 Ha/atom
formation energy from raw total energies = -0.160 eV/atom

a b c (Å): 7.1540 7.1540 7.1540
angles (deg): 90.00 90.00 90.00
Closest atoms and distances in Å follow each position.
Space group F-43m (No. 216)
Symmetry-distinct sites (fractional):
Y1 0.0000 0.0000 0.0000 (multiplicity 4)  4 Y 3.10, 4 P 3.10
Y2 0.2500 0.2500 0.2500 (multiplicity 4)  4 Cl 3.10, 4 Y 3.10
P1 0.2500 0.2500 0.7500 (multiplicity 4)  4 Cl 3.10, 4 Y 3.10
Cl1 0.0000 0.0000 0.5000 (multiplicity 4)  4 Y 3.10, 4 P 3.10

2.
The following is a GGA-PBE calculation of a relaxed Th2Ge4IrRh3 crystal, from Alexandria via LeMat-Bulk.

Computed properties:
total DFT energy (no corrections) = -0.2683 Ha/atom
E_form = -0.88 eV/atom

a b c (Å): 4.2596 4.2596 10.1975
angles (deg): 90.00 90.00 90.00
Closest atoms and distances in Å follow each position.
Space group P-4m2 (No. 115)
Symmetry-distinct sites (fractional):
Th1 0.0000 0.5000 0.2474 (multiplicity 2)  6 Rh 3.25-3.34, 8 Ge 3.25-3.30, 2 Ir 3.34
Ge1 0.0000 0.0000 0.0000 (multiplicity 1)  4 Rh 2.50
Ge2 0.0000 0.5000 0.6326 (multiplicity 2)  3 Rh 2.44-2.52, 2 Ir 2.52
Ge3 0.5000 0.5000 0.0000 (multiplicity 1)  4 Rh 2.50
Ir1 0.0000 0.0000 0.5000 (multiplicity 1)  4 Ge 2.52
Rh1 0.0000 0.5000 0.8718 (multiplicity 2)  5 Ge 2.44-2.50
Rh2 0.5000 0.5000 0.5000 (multiplicity 1)  4 Ge 2.52

3.
The following is a GGA-PBE calculation of a relaxed ZrSiTc crystal, from Alexandria via LeMat-Bulk.

Computed properties:
total DFT energy (no corrections) = -0.3152 Ha/atom
offset from the most stable computed form = 0.415 eV per atom
formation energy from raw total energies = -0.463 eV/atom

a b c (Å): 4.2317 4.2317 3.3088
angles (deg): 90.00 90.00 120.00
Closest atoms and distances in Å follow each position.
Space group P-6m2 (No. 187)
Symmetry-distinct sites (fractional):
Zr1 0.0000 0.0000 0.0000 (multiplicity 1)  6 Tc 2.95, 6 Si 2.95
Si1 0.6667 0.3333 0.5000 (multiplicity 1)  3 Tc 2.44
Tc1 0.3333 0.6667 0.5000 (multiplicity 1)  3 Si 2.44

4.
The following is a GGA-PBE calculation of a relaxed CePmTc crystal, from Alexandria via LeMat-Bulk.

Computed properties:
total DFT energy (no corrections) = -0.2543 Ha/atom
E_form = 0.10 eV/atom
offset from the most stable computed form = 0.140 eV per atom

a b c (Å): 4.7301 4.7301 3.6159
angles (deg): 90.00 90.00 120.00
Closest atoms and distances in Å follow each position.
Space group P3m1 (No. 156)
Symmetry-distinct sites (fractional):
Ce1 0.0000 0.0000 0.0000 (multiplicity 1)  3 Tc 2.85, 3 Pm 3.13
Pm1 0.6667 0.3333 0.4215 (multiplicity 1)  3 Tc 3.01, 3 Ce 3.13
Tc1 0.3333 0.6667 0.7713 (multiplicity 1)  3 Ce 2.85, 3 Pm 3.01

5.
The following is a GGA-PBE calculation of a relaxed Er2MgHg4 crystal, from Alexandria via LeMat-Bulk.

Computed properties:
total DFT energy (no corrections) = -0.0741 Ha/atom
E_form = -0.31 eV/atom
offset from the most stable computed form = 0.000 eV per atom

a b c (Å): 4.9627 4.9627 24.9586
angles (deg): 90.00 90.00 120.00
Closest atoms and distances in Å follow each position.
Space group R-3m (No. 166, hexagonal axes)
Symmetry-distinct sites (fractional):
Er1 0.0000 0.0000 0.2501 (multiplicity 6)  8 Hg 3.04-3.14
Mg1 0.0000 0.0000 0.0000 (multiplicity 3)  8 Hg 3.06-3.19
Hg1 0.0000 0.0000 0.1278 (multiplicity 6)  4 Er 3.05-3.07, 1 Mg 3.19
Hg2 0.0000 0.0000 0.3760 (multiplicity 6)  4 Er 3.04-3.14, 3 Mg 3.06

6.
The following is a GGA-PBE calculation of a relaxed CsRbF14 crystal, from Alexandria via LeMat-Bulk.

Computed properties:
total DFT energy (no corrections) = -0.0887 Ha/atom
formation energy from raw total energies = -0.663 eV/atom

a b c (Å): 7.2663 13.7880 11.9889
angles (deg): 90.00 90.00 90.00
Closest atoms and distances in Å follow each position.
Space group Imma (No. 74)
Symmetry-distinct sites (fractional):
Cs1 0.0000 0.2500 0.0910 (multiplicity 4)  6 F 2.88-3.17
Rb1 0.2500 0.2500 0.7500 (multiplicity 4)  8 F 2.81-3.07
F1 0.0000 0.1253 0.8982 (multiplicity 8)  2 F 1.92
F2 0.0000 0.1262 0.5847 (multiplicity 8)  2 F 1.78
F3 0.0000 0.1980 0.3620 (multiplicity 8)  1 F 1.43
F4 0.2429 0.1244 0.5659 (multiplicity 16)  2 F 1.78-1.92
F5 0.2486 0.0519 0.3097 (multiplicity 16)  1 F 1.43

7.
The following is a GGA-PBE calculation of a relaxed HfAg2Sn2 crystal, from Alexandria via LeMat-Bulk.

Computed properties:
total DFT energy (no corrections) = -0.1701 Ha/atom
E_form = 0.10 eV/atom
offset from the most stable computed form = 0.022 eV per atom

a b c (Å): 3.8376 3.8376 15.2964
angles (deg): 90.00 90.00 90.00
Closest atoms and distances in Å follow each position.
Space group I4/mmm (No. 139)
Symmetry-distinct sites (fractional):
Hf1 0.0000 0.0000 0.0000 (multiplicity 2)  8 Sn 3.11
Ag1 0.0000 0.5000 0.2500 (multiplicity 4)  4 Ag 2.71, 4 Sn 3.00
Sn1 0.0000 0.0000 0.4005 (multiplicity 4)  4 Ag 3.00, 1 Sn 3.04, 4 Hf 3.11

8.
The following is a GGA-PBE calculation of a relaxed K3NbPd crystal, from Alexandria via LeMat-Bulk.

Computed properties:
total DFT energy (no corrections) = -0.0954 Ha/atom
E_form = 1.11 eV/atom
offset from the most stable computed form = 0.000 eV per atom

a b c (Å): 6.1045 6.1045 6.1045
angles (deg): 90.00 90.00 90.00
Closest atoms and distances in Å follow each position.
Space group Pm-3m (No. 221)
Symmetry-distinct sites (fractional):
K1 0.0000 0.0000 0.5000 (multiplicity 3)  2 Pd 3.05
Nb1 0.5000 0.5000 0.5000 (multiplicity 1)  12 K 4.32
Pd1 0.0000 0.0000 0.0000 (multiplicity 1)  6 K 3.05

9.
The following is a GGA-PBE calculation of a relaxed TcSnAsI2 crystal, from Alexandria via LeMat-Bulk.

Computed properties:
total DFT energy (no corrections) = -0.1316 Ha/atom
formation energy from raw total energies = 0.843 eV/atom

a b c (Å): 5.9372 5.9372 4.7571
angles (deg): 90.00 90.00 90.00
Closest atoms and distances in Å follow each position.
Space group P4/mmm (No. 123)
Symmetry-distinct sites (fractional):
Tc1 0.0000 0.0000 0.0000 (multiplicity 1)  2 As 2.38
Sn1 0.5000 0.5000 0.0000 (multiplicity 1)  8 I 3.80, 4 Tc 4.20
As1 0.0000 0.0000 0.5000 (multiplicity 1)  2 Tc 2.38
I1 0.0000 0.5000 0.5000 (multiplicity 2)  2 As 2.97

10.
The following is a GGA-PBE calculation of a relaxed K3SrMg crystal, from Alexandria via LeMat-Bulk.

Computed properties:
total DFT energy (no corrections) = -0.0363 Ha/atom
E_form = 0.32 eV/atom
offset from the most stable computed form = 0.000 eV per atom

a b c (Å): 6.9466 6.9466 6.9466
angles (deg): 90.00 90.00 90.00
Closest atoms and distances in Å follow each position.
Space group Pm-3m (No. 221)
Symmetry-distinct sites (fractional):
K1 0.0000 0.0000 0.5000 (multiplicity 3)  2 Mg 3.47
Sr1 0.5000 0.5000 0.5000 (multiplicity 1)  12 K 4.91
Mg1 0.0000 0.0000 0.0000 (multiplicity 1)  6 K 3.47

11.
The following is a GGA-PBE calculation of a relaxed K3H8RhC4Cl2O12 crystal, from Alexandria via LeMat-Bulk.

Computed properties:
total DFT energy (no corrections) = -0.2136 Ha/atom

a b c (Å): 12.0323 11.7827 6.4771
angles (deg): 90.00 117.89 90.00
Closest atoms and distances in Å follow each position.
Space group C2/m (No. 12)
Symmetry-distinct sites (fractional):
K1 0.0000 0.0000 0.0000 (multiplicity 2)  4 O 2.80, 4 H 3.09
K2 0.0000 0.2625 0.5000 (multiplicity 4)  4 O 2.75-2.82
H1 0.1347 0.2457 0.0845 (multiplicity 8)  1 O 0.99
H2 0.2148 0.1556 0.0367 (multiplicity 8)  1 O 0.98
Rh1 0.0000 0.5000 0.0000 (multiplicity 2)  4 O 2.06
C1 0.2309 0.4342 0.3839 (multiplicity 8)  2 O 1.24-1.31
Cl1 0.1283 0.5000 0.8120 (multiplicity 4)  1 Rh 2.37, 2 H 2.48
O1 0.1254 0.3860 0.2350 (multiplicity 8)  1 C 1.31
O2 0.1308 0.1897 0.9683 (multiplicity 8)  2 H 0.98-0.99
O3 0.1739 0.1183 0.4797 (multiplicity 8)  1 C 1.24

12.
The following is a GGA-PBE calculation of a relaxed YHfFePb2 crystal, from Alexandria via LeMat-Bulk.

Computed properties:
total DFT energy (no corrections) = -0.1881 Ha/atom
E_form = 1.34 eV/atom

a b c (Å): 5.6808 5.6808 4.4308
angles (deg): 90.00 90.00 90.00
Closest atoms and distances in Å follow each position.
Space group P4/mmm (No. 123)
Symmetry-distinct sites (fractional):
Y1 0.0000 0.0000 0.0000 (multiplicity 1)  2 Fe 2.22
Hf1 0.5000 0.5000 0.5000 (multiplicity 1)  8 Pb 3.60, 4 Fe 4.02
Fe1 0.0000 0.0000 0.5000 (multiplicity 1)  2 Y 2.22
Pb1 0.0000 0.5000 0.0000 (multiplicity 2)  2 Y 2.84